Record 1
! GdHoIr2C2N2 | OQMD | GGA-PBE | optimized geometry; values from VASP
&SYSTEM
  ibrav = 0, nat = 8, ntyp = 5
/
ATOMIC_SPECIES
Gd 157.25 Gd.upf
Ho 164.93 Ho.upf
Ir 192.22 Ir.upf
C 12.01 C.upf
N 14.01 N.upf
CELL_PARAMETERS angstrom
3.730 0.000 0.000
0.000 3.730 0.000
0.000 0.000 7.317
ATOMIC_POSITIONS crystal
Gd 0.000 0.000 0.000
Ho 0.500 0.500 0.334
Ir 0.000 0.500 0.665
Ir 0.500 0.000 0.665
C 0.000 0.000 0.509
C 0.500 0.500 0.829
N 0.000 0.000 0.318
N 0.500 0.500 0.019
! symmetry: P4mm, No. 99
! total energy: -66.1 eV per formula unit
! total moment: 0.000 μB per atom

---

Record 2
! Gd2HoNi2C2N3 | OQMD | GGA-PBE | optimized geometry; values from VASP
&SYSTEM
  ibrav = 0, nat = 10, ntyp = 5
/
ATOMIC_SPECIES
Gd 157.25 Gd.upf
Ho 164.93 Ho.upf
Ni 58.69 Ni.upf
C 12.01 C.upf
N 14.01 N.upf
CELL_PARAMETERS angstrom
-1.740 1.740 9.775
1.740 -1.740 9.775
1.740 1.740 -9.775
ATOMIC_POSITIONS crystal
Gd 0.126 0.126 0.000
Gd 0.874 0.874 0.000
Ho 0.500 0.500 0.000
Ni 0.250 0.750 0.500
Ni 0.750 0.250 0.500
C 0.310 0.310 0.000
C 0.690 0.690 0.000
N 0.000 0.000 0.000
N 0.381 0.381 0.000
N 0.619 0.619 0.000
! symmetry: I4/mmm, No. 139
! total energy: -77.1 eV per formula unit
! total moment: 0.005 μB per atom

---

Record 3
! GdHo3C2S2 | OQMD | GGA-PBE | optimized geometry; values from VASP
&SYSTEM
  ibrav = 0, nat = 8, ntyp = 4
/
ATOMIC_SPECIES
Gd 157.25 Gd.upf
Ho 164.93 Ho.upf
C 12.01 C.upf
S 32.06 S.upf
CELL_PARAMETERS angstrom
3.701 0.000 0.000
-1.850 3.205 0.000
0.000 0.000 12.895
ATOMIC_POSITIONS crystal
Gd 0.000 0.000 0.000
Ho 0.000 0.000 0.707
Ho 0.333 0.667 0.210
Ho 0.333 0.667 0.500
C 0.667 0.333 0.107
C 0.667 0.333 0.603
S 0.000 0.000 0.355
S 0.333 0.667 0.850
! symmetry: P3m1, No. 156
! total energy: -55.1 eV per formula unit
! total moment: 0.000 μB per atom

---

Record 4
! GdHoCSe | OQMD | GGA-PBE | optimized geometry; values from VASP
&SYSTEM
  ibrav = 0, nat = 8, ntyp = 4
/
ATOMIC_SPECIES
Gd 157.25 Gd.upf
Ho 164.93 Ho.upf
C 12.01 C.upf
Se 78.96 Se.upf
CELL_PARAMETERS angstrom
3.771 0.000 0.000
-1.885 3.266 0.000
0.000 0.000 13.323
ATOMIC_POSITIONS crystal
Gd 0.000 0.000 0.151
Gd 0.000 0.000 0.849
Ho 0.333 0.667 0.352
Ho 0.333 0.667 0.648
C 0.667 0.333 0.254
C 0.667 0.333 0.746
Se 0.000 0.000 0.500
Se 0.333 0.667 0.000
! symmetry: P-6m2, No. 187
! total energy: -26.5 eV per formula unit
! total moment: 0.001 μB per atom

---

Record 5
! GdHoCSe | OQMD | GGA-PBE | optimized geometry; values from VASP
&SYSTEM
  ibrav = 0, nat = 8, ntyp = 4
/
ATOMIC_SPECIES
Gd 157.25 Gd.upf
Ho 164.93 Ho.upf
C 12.01 C.upf
Se 78.96 Se.upf
CELL_PARAMETERS angstrom
3.773 0.000 0.000
-1.887 3.268 0.000
0.000 0.000 13.320
ATOMIC_POSITIONS crystal
Gd 0.333 0.667 0.000
Gd 0.667 0.333 0.500
Ho 0.333 0.667 0.299
Ho 0.667 0.333 0.799
C 0.000 0.000 0.398
C 0.000 0.000 0.898
Se 0.333 0.667 0.652
Se 0.667 0.333 0.152
! symmetry: P6_3mc, No. 186
! total energy: -26.5 eV per formula unit
! total moment: 0.001 μB per atom

---

Record 6
! GdHoCSe | OQMD | GGA-PBE | optimized geometry; values from VASP
&SYSTEM
  ibrav = 0, nat = 8, ntyp = 4
/
ATOMIC_SPECIES
Gd 157.25 Gd.upf
Ho 164.93 Ho.upf
C 12.01 C.upf
Se 78.96 Se.upf
CELL_PARAMETERS angstrom
3.771 0.000 0.000
-1.886 3.266 0.000
0.000 0.000 13.322
ATOMIC_POSITIONS crystal
Gd 0.333 0.667 0.398
Gd 0.667 0.333 0.602
Ho 0.333 0.667 0.099
Ho 0.667 0.333 0.901
C 0.000 0.000 0.000
C 0.000 0.000 0.500
Se 0.333 0.667 0.754
Se 0.667 0.333 0.246
! symmetry: P-3m1, No. 164
! total energy: -26.5 eV per formula unit
! total moment: 0.000 μB per atom

---

Record 7
! Gd3HoC2Se2 | OQMD | GGA-PBE | optimized geometry; values from VASP
&SYSTEM
  ibrav = 0, nat = 8, ntyp = 4
/
ATOMIC_SPECIES
Gd 157.25 Gd.upf
Ho 164.93 Ho.upf
C 12.01 C.upf
Se 78.96 Se.upf
CELL_PARAMETERS angstrom
3.790 0.000 0.000
-1.895 3.282 0.000
0.000 0.000 13.399
ATOMIC_POSITIONS crystal
Gd 0.000 0.000 0.000
Gd 0.000 0.000 0.300
Gd 0.333 0.667 0.503
Ho 0.333 0.667 0.801
C 0.667 0.333 0.402
C 0.667 0.333 0.899
Se 0.000 0.000 0.654
Se 0.333 0.667 0.151
! symmetry: P3m1, No. 156
! total energy: -52.9 eV per formula unit
! total moment: 0.000 μB per atom

---

Record 8
! GdHo3Sn2C2 | OQMD | GGA-PBE | optimized geometry; values from VASP
&SYSTEM
  ibrav = 0, nat = 8, ntyp = 4
/
ATOMIC_SPECIES
Gd 157.25 Gd.upf
Ho 164.93 Ho.upf
Sn 118.71 Sn.upf
C 12.01 C.upf
CELL_PARAMETERS angstrom
3.616 0.000 0.000
-1.808 3.132 0.000
0.000 0.000 15.888
ATOMIC_POSITIONS crystal
Gd 0.000 0.000 0.000
Ho 0.000 0.000 0.668
Ho 0.667 0.333 0.170
Ho 0.667 0.333 0.501
Sn 0.000 0.000 0.335
Sn 0.667 0.333 0.833
C 0.333 0.667 0.087
C 0.333 0.667 0.584
! symmetry: P3m1, No. 156
! total energy: -49.1 eV per formula unit
! total moment: 0.003 μB per atom